Crystalline Sm6HgRu at its relaxed geometry. Source: Alexandria, functional PBE. Values from VASP.

Quantum ESPRESSO input file:
```
&SYSTEM
  ibrav = 0, nat = 8, ntyp = 3
/
ATOMIC_SPECIES
Sm 150.36 Sm.upf
Ru 101.07 Ru.upf
Hg 200.59 Hg.upf
CELL_PARAMETERS angstrom
-1.1780 6.2302 -2.7848
-5.2723 3.8984 2.3350
1.8392 6.0598 4.2718
ATOMIC_POSITIONS angstrom
Sm -3.7563 9.6808 -0.2568
Sm -3.2089 10.2212 3.8944
Sm -1.4021 5.9672 -0.0724
Sm -0.8547 6.5076 4.0788
Sm -4.8486 6.5810 2.6470
Sm 0.2376 9.6073 1.1750
Ru 0.0000 0.0000 0.0000
Hg -2.3055 8.0942 1.9110
```

Results
space group = P-1 (2)
E = -4.77 eV/atom
V = 34.1 A^3/atom

Crystalline PaBrO at its relaxed geometry. Source: Alexandria, functional PBE. Values from VASP.

Quantum ESPRESSO input file:
```
&SYSTEM
  ibrav = 0, nat = 6, ntyp = 3
/
ATOMIC_SPECIES
Br 79.90 Br.upf
Pa 231.04 Pa.upf
O 16.00 O.upf
CELL_PARAMETERS angstrom
-0.4468 1.0051 3.4414
-4.3871 -0.6519 -0.3766
1.1657 -9.5129 2.9378
ATOMIC_POSITIONS angstrom
Br -0.4721 -7.2554 4.9076
Br -3.1962 -1.9043 1.0950
Pa -0.5099 -5.6188 2.5278
Pa -3.1584 -3.5409 3.4748
O -0.9300 -3.5012 3.7511
O -2.7383 -5.6585 2.2515
```

Results
E_form (uncorrected) = -2.211 eV/atom
space group = Pmmn (59)
V = 26.9 A^3/atom

Crystalline LiTh2Si3Ni4 at its relaxed geometry. Source: Alexandria, functional PBE. Values from VASP.

Quantum ESPRESSO input file:
```
&SYSTEM
  ibrav = 0, nat = 10, ntyp = 4
/
ATOMIC_SPECIES
Li 6.94 Li.upf
Th 232.04 Th.upf
Ni 58.69 Ni.upf
Si 28.09 Si.upf
CELL_PARAMETERS angstrom
4.0821 0.0000 0.0000
0.0000 4.0821 0.0000
0.0000 0.0000 9.5204
ATOMIC_POSITIONS angstrom
Li 2.0411 2.0411 4.7602
Th 2.0411 0.0000 2.3351
Th 0.0000 2.0411 7.1852
Ni 0.0000 2.0411 3.5417
Ni 0.0000 0.0000 0.0000
Ni 2.0411 0.0000 5.9786
Ni 2.0411 2.0411 0.0000
Si 2.0411 0.0000 8.3143
Si 0.0000 2.0411 1.2061
Si 0.0000 0.0000 4.7602
```

Results
E_form (uncorrected) = -0.728 eV/atom
space group = P-4m2 (115)
V = 15.9 A^3/atom

Crystalline ScBeZn2Rh at its relaxed geometry. Source: Alexandria, functional PBE. Values from VASP.

Quantum ESPRESSO input file:
```
&SYSTEM
  ibrav = 0, nat = 5, ntyp = 4
/
ATOMIC_SPECIES
Be 9.01 Be.upf
Zn 65.41 Zn.upf
Rh 102.91 Rh.upf
Sc 44.96 Sc.upf
CELL_PARAMETERS angstrom
4.7020 0.0000 0.0000
0.0000 4.1223 0.0000
0.0000 0.0000 4.7020
ATOMIC_POSITIONS angstrom
Be 0.0000 2.0611 0.0000
Zn 0.0000 0.0000 2.3510
Zn 2.3510 0.0000 0.0000
Rh 0.0000 0.0000 0.0000
Sc 2.3510 2.0611 2.3510
```

Results
space group = P4/mmm (123)
E = -3.97 eV/atom
V = 18.2 A^3/atom